First-principles (PBE) data for an optimized crystal structure of HgBi2Br, as listed in the Alexandria database.

Values from the calculation:
**Calculated density**: 8833 kg/m3
**E**: -9.94 eV/f.u.
**Distance to the lowest polymorph of the same formula**: 0 meV per atom
**Magnetization**: 0.0 μB/f.u.
**Formation energy from raw total energies**: -50.0 meV/atom
**D(E_F)**: 1.6 states/eV/f.u.

abc: 11.8885 11.8885 11.8885
angles: 156.70 156.70 33.18
Fractional coordinates of all 8 atoms:
Hg (0.0000, 0.0000, 0.0000)
Hg (0.7500, 0.2500, 0.5000)
Bi (0.0784, 0.6250, 0.9534)
Bi (0.3750, 0.3284, 0.4534)
Bi (0.6716, 0.1250, 0.0466)
Bi (0.8750, 0.9216, 0.5466)
Br (0.2500, 0.7500, 0.5000)
Br (0.5000, 0.5000, 0.0000)